(1)
A plane-wave DFT calculation with PBE was carried out for a relaxed SrZn2 crystal.

Properties
Calculated density   3.69 g/cm³
Electronic total energy   -1.136 eV/atom
Formation energy from the elements   0.274 eV per atom
Spin magnetization   0.000 Bohr magnetons per cell

CIF file:
```
data_SrZn2
_chemical_formula_sum 'Sr4 Zn8'
_cell_length_a 7.326
_cell_length_b 7.326
_cell_length_c 7.326
_cell_angle_alpha 90.00
_cell_angle_beta 90.00
_cell_angle_gamma 90.00
_space_group_name_H-M_alt 'F m -3 m'
_space_group_IT_number 225
_space_group_name_Hall '-F 4 2 3'
loop_
_atom_site_label
_atom_site_type_symbol
_atom_site_fract_x
_atom_site_fract_y
_atom_site_fract_z
Sr1 Sr 0.000 0.000 0.000
Zn1 Zn 0.250 0.250 0.250
```

(2)
A plane-wave DFT calculation with PBE was carried out for a relaxed Sr3Zn crystal.

Properties
Calculated density   2.89 g/cm³
Electronic total energy   -1.605 eV/atom
Formation energy from the elements   -0.026 eV per atom
Spin magnetization   0.001 Bohr magnetons per cell

CIF file:
```
data_Sr3Zn
_chemical_formula_sum 'Sr12 Zn4'
_cell_length_a 7.719
_cell_length_b 13.495
_cell_length_c 7.655
_cell_angle_alpha 90.00
_cell_angle_beta 108.96
_cell_angle_gamma 90.00
_space_group_name_H-M_alt 'C 1 2/m 1'
_space_group_IT_number 12
_space_group_name_Hall '-C 2y'
loop_
_atom_site_label
_atom_site_type_symbol
_atom_site_fract_x
_atom_site_fract_y
_atom_site_fract_z
Sr1 Sr 0.245 0.000 0.252
Sr2 Sr 0.249 0.164 0.761
Zn1 Zn 0.000 0.331 0.500
```

(3)
A plane-wave DFT calculation with PBE was carried out for a relaxed SrZn3 crystal.

Properties
Calculated density   5.03 g/cm³
Electronic total energy   -1.427 eV/atom
Formation energy from the elements   -0.051 eV per atom
Spin magnetization   0.000 Bohr magnetons per cell

CIF file:
```
data_SrZn3
_chemical_formula_sum 'Sr4 Zn12'
_cell_length_a 6.6882
_cell_length_b 6.6882
_cell_length_c 9.6809
_cell_angle_alpha 90.00
_cell_angle_beta 90.00
_cell_angle_gamma 120.00
_space_group_name_H-M_alt 'P 63/m m c'
_space_group_IT_number 194
_space_group_name_Hall '-P 6c 2c'
loop_
_atom_site_label
_atom_site_type_symbol
_atom_site_fract_x
_atom_site_fract_y
_atom_site_fract_z
Sr1 Sr 0.0000 0.0000 0.0000
Sr2 Sr 0.3333 0.6667 0.2500
Zn1 Zn 0.0000 0.5000 0.0000
Zn2 Zn 0.1990 0.3980 0.7500
```

(4)
A plane-wave DFT calculation with PBE was carried out for a relaxed SrZn3 crystal.

Properties
Calculated density   5.23 g/cm³
Electronic total energy   -1.586 eV/atom
Formation energy from the elements   -0.210 eV per atom
Spin magnetization   0.000 Bohr magnetons per cell

CIF file:
```
data_SrZn3
_chemical_formula_sum 'Sr4 Zn12'
_cell_length_a 7.238
_cell_length_b 4.552
_cell_length_c 10.942
_cell_angle_alpha 90.00
_cell_angle_beta 90.00
_cell_angle_gamma 90.00
_space_group_name_H-M_alt 'P n m a'
_space_group_IT_number 62
_space_group_name_Hall '-P 2ac 2n'
loop_
_atom_site_label
_atom_site_type_symbol
_atom_site_fract_x
_atom_site_fract_y
_atom_site_fract_z
Sr1 Sr 0.174 0.250 0.129
Zn1 Zn 0.009 0.750 0.395
Zn2 Zn 0.155 0.250 0.818
Zn3 Zn 0.214 0.250 0.422
```

(5)
A plane-wave DFT calculation with PBE was carried out for a relaxed SrZn2 crystal.

Properties
Calculated density   5.27 g/cm³
Electronic total energy   -1.591 eV/atom
Formation energy from the elements   -0.181 eV per atom
Spin magnetization   0.000 Bohr magnetons per cell

CIF file:
```
data_SrZn2
_chemical_formula_sum 'Sr4 Zn8'
_cell_length_a 5.9093
_cell_length_b 5.9093
_cell_length_c 9.1071
_cell_angle_alpha 90.00
_cell_angle_beta 90.00
_cell_angle_gamma 120.00
_space_group_name_H-M_alt 'P 63/m m c'
_space_group_IT_number 194
_space_group_name_Hall '-P 6c 2c'
loop_
_atom_site_label
_atom_site_type_symbol
_atom_site_fract_x
_atom_site_fract_y
_atom_site_fract_z
Sr1 Sr 0.3333 0.6667 0.0532
Zn1 Zn 0.0000 0.0000 0.0000
Zn2 Zn 0.1580 0.3161 0.7500
```

(6)
A plane-wave DFT calculation with PBE was carried out for a relaxed Sr3Zn crystal.

Properties
Calculated density   3.18 g/cm³
Electronic total energy   -1.431 eV/atom
Formation energy from the elements   0.149 eV per atom
Spin magnetization   0.000 Bohr magnetons per cell

CIF file:
```
data_Sr3Zn
_chemical_formula_sum 'Sr9 Zn3'
_cell_length_a 12.1081
_cell_length_b 12.1081
_cell_length_c 4.0527
_cell_angle_alpha 90.00
_cell_angle_beta 90.00
_cell_angle_gamma 120.00
_space_group_name_H-M_alt 'R -3 m'
_space_group_IT_number 166
_space_group_name_Hall '-R 3 2"'
loop_
_atom_site_label
_atom_site_type_symbol
_atom_site_fract_x
_atom_site_fract_y
_atom_site_fract_z
Sr1 Sr 0.0000 0.5000 0.0000
Zn1 Zn 0.0000 0.0000 0.0000
```

(7)
A plane-wave DFT calculation with PBE was carried out for a relaxed SrZn crystal.

Properties
Calculated density   4.31 g/cm³
Electronic total energy   -1.599 eV/atom
Formation energy from the elements   -0.121 eV per atom
Spin magnetization   0.000 Bohr magnetons per cell

CIF file:
```
data_SrZn
_chemical_formula_sum 'Sr4 Zn4'
_cell_length_a 12.321
_cell_length_b 3.880
_cell_length_c 5.474
_cell_angle_alpha 90.00
_cell_angle_beta 115.81
_cell_angle_gamma 90.00
_space_group_name_H-M_alt 'C 1 2/m 1'
_space_group_IT_number 12
_space_group_name_Hall '-C 2y'
loop_
_atom_site_label
_atom_site_type_symbol
_atom_site_fract_x
_atom_site_fract_y
_atom_site_fract_z
Sr1 Sr 0.101 0.000 0.349
Zn1 Zn 0.171 0.500 0.918
```

(8)
A plane-wave DFT calculation with PBE was carried out for a relaxed SrZn13 crystal.

Properties
Calculated density   6.71 g/cm³
Electronic total energy   -1.460 eV/atom
Formation energy from the elements   -0.157 eV per atom
Spin magnetization   0.000 Bohr magnetons per cell

CIF file:
```
data_SrZn13
_chemical_formula_sum 'Sr8 Zn104'
_cell_length_a 12.291
_cell_length_b 12.291
_cell_length_c 12.291
_cell_angle_alpha 90.00
_cell_angle_beta 90.00
_cell_angle_gamma 90.00
_space_group_name_H-M_alt 'F m -3 c'
_space_group_IT_number 226
_space_group_name_Hall '-F 4a 2 3'
loop_
_atom_site_label
_atom_site_type_symbol
_atom_site_fract_x
_atom_site_fract_y
_atom_site_fract_z
Sr1 Sr 0.250 0.250 0.250
Zn1 Zn 0.000 0.000 0.000
Zn2 Zn 0.000 0.121 0.180
```